No. 1
Compound: Ca4Te2O
Source: Alexandria via LeMat-Bulk
Functional: PBE
Structure: optimized geometry

Computed properties:
Energy relative to the elements, uncorrected ... -10.6 eV/f.u.
D(E_F) ... 1.270 states/eV/cell

Unit cell a=4.541 b=4.541 c=10.977 alpha=78.06 beta=78.06 gamma=90.00
Fractional positions:
Ca 0.500 0.000 0.000
Ca 0.000 0.500 0.000
Ca 0.681 0.681 0.639
Ca 0.319 0.319 0.361
Te 0.169 0.169 0.663
Te 0.831 0.831 0.337
O 0.000 0.000 0.000


No. 2
Compound: LaSnB3
Source: Alexandria via LeMat-Bulk
Functional: PBE
Structure: optimized geometry

Computed properties:
Formation enthalpy at 0 K ... 10.46 eV/f.u.
D(E_F) ... 2.365 states/eV/cell
ΔE to the lowest computed polymorph ... 852 meV/atom

Unit cell a=4.833 b=4.833 c=4.833 alpha=90.00 beta=90.00 gamma=90.00
Fractional positions:
Sn 0.500 0.500 0.500
La 0.000 0.000 0.000
B 0.000 0.500 0.000
B 0.500 0.000 0.000
B 0.000 0.000 0.500


No. 3
Compound: KRb4Cl5
Source: Alexandria via LeMat-Bulk
Functional: PBE
Structure: optimized geometry

Computed properties:
Energy relative to the elements, uncorrected ... -19.4 eV/f.u.
D(E_F) ... 0.000 states/eV/cell

Unit cell a=4.682 b=6.638 c=12.406 alpha=105.52 beta=100.88 gamma=90.00
Fractional positions:
K 0.000 0.000 0.000
Cl 0.595 0.095 0.190
Cl 0.000 0.500 0.000
Cl 0.201 0.701 0.401
Cl 0.405 0.905 0.810
Cl 0.799 0.299 0.599
Rb 0.198 0.198 0.395
Rb 0.401 0.401 0.801
Rb 0.599 0.599 0.199
Rb 0.802 0.802 0.605


No. 4
Compound: La9Ho4Th
Source: Alexandria via LeMat-Bulk
Functional: PBE
Structure: optimized geometry

Computed properties:
Formation enthalpy at 0 K ... 2.11 eV/f.u.
D(E_F) ... 52.344 states/eV/cell

Unit cell a=11.461 b=10.120 c=10.120 alpha=120.00 beta=90.00 gamma=90.00
Fractional positions:
La 0.035 0.793 0.585
La 0.965 0.585 0.793
La 0.535 0.585 0.793
La 0.750 0.536 0.464
La 0.965 0.207 0.415
La 0.035 0.793 0.207
La 0.465 0.415 0.207
La 0.035 0.415 0.207
La 0.535 0.207 0.415
La 0.465 0.793 0.207
La 0.750 0.928 0.464
La 0.250 0.464 0.536
La 0.465 0.793 0.585
La 0.750 0.536 0.072
La 0.250 0.072 0.536
La 0.535 0.207 0.793
La 0.965 0.207 0.793
La 0.250 0.464 0.928
Ho 0.750 0.218 0.109
Ho 0.500 0.000 0.000
Ho 0.000 0.000 0.000
Ho 0.250 0.109 0.891
Ho 0.750 0.891 0.782
Ho 0.750 0.891 0.109
Ho 0.250 0.109 0.218
Ho 0.250 0.782 0.891
Th 0.750 0.333 0.667
Th 0.250 0.667 0.333


No. 5
Compound: Sc2Zn5Co2Ni
Source: Alexandria via LeMat-Bulk
Functional: PBE
Structure: optimized geometry

Computed properties:
Formation enthalpy at 0 K ... -2.31 eV/f.u.
D(E_F) ... 13.474 states/eV/cell

Unit cell a=3.911 b=8.685 c=8.685 alpha=90.00 beta=90.00 gamma=90.00
Fractional positions:
Co 0.000 0.379 0.121
Co 0.000 0.879 0.379
Co 0.000 0.121 0.621
Co 0.000 0.621 0.879
Zn 0.500 0.799 0.937
Zn 0.500 0.201 0.063
Zn 0.500 0.299 0.563
Zn 0.500 0.437 0.299
Zn 0.500 0.937 0.201
Zn 0.500 0.063 0.799
Zn 0.500 0.000 0.500
Zn 0.500 0.701 0.437
Zn 0.500 0.500 0.000
Zn 0.500 0.563 0.701
Sc 0.000 0.824 0.676
Sc 0.000 0.676 0.176
Sc 0.000 0.176 0.324
Sc 0.000 0.324 0.824
Ni 0.000 0.500 0.500
Ni 0.000 0.000 0.000


No. 6
Compound: IrPtCl2
Source: Alexandria via LeMat-Bulk
Functional: PBE
Structure: optimized geometry

Computed properties:
Energy relative to the elements, uncorrected ... 1.4 eV/f.u.
D(E_F) ... 1.917 states/eV/cell
ΔE to the lowest computed polymorph ... 324 meV/atom

Unit cell a=3.706 b=4.737 c=4.738 alpha=63.14 beta=90.00 gamma=90.00
Fractional positions:
Cl 0.000 0.960 0.960
Cl 0.500 0.303 0.303
Pt 0.500 0.729 0.729
Ir 0.000 0.508 0.508


No. 7
Compound: AgPt2
Source: Alexandria via LeMat-Bulk
Functional: PBE
Structure: optimized geometry

Computed properties:
Formation enthalpy at 0 K ... 0.04 eV/f.u.
D(E_F) ... 17.142 states/eV/cell
ΔE to the lowest computed polymorph ... 22 meV/atom

Unit cell a=4.894 b=4.894 c=9.050 alpha=100.54 beta=100.54 gamma=108.87
Fractional positions:
Pt 0.168 0.668 0.337
Pt 0.332 0.832 0.663
Pt 0.254 0.254 0.509
Pt 0.415 0.415 0.830
Pt 0.668 0.168 0.337
Pt 0.746 0.746 0.491
Pt 0.832 0.332 0.663
Pt 0.585 0.585 0.170
Ag 0.914 0.914 0.829
Ag 0.000 0.500 0.000
Ag 0.086 0.086 0.171
Ag 0.500 0.000 0.000


No. 8
Compound: Ac2Ga4CuPd3
Source: Alexandria via LeMat-Bulk
Functional: PBE
Structure: optimized geometry

Computed properties:
Formation enthalpy at 0 K ... -7.06 eV/f.u.
D(E_F) ... 6.890 states/eV/cell

Unit cell a=4.501 b=4.501 c=10.233 alpha=90.00 beta=90.00 gamma=90.00
Fractional positions:
Ga 0.500 0.000 0.617
Ga 0.500 0.500 0.000
Ga 0.000 0.500 0.383
Ga 0.000 0.000 0.000
Ac 0.500 0.000 0.252
Ac 0.000 0.500 0.748
Pd 0.000 0.000 0.500
Pd 0.500 0.000 0.870
Pd 0.000 0.500 0.130
Cu 0.500 0.500 0.500


No. 9
Compound: Ac3Ho2NpN6
Source: Alexandria via LeMat-Bulk
Functional: PBE
Structure: optimized geometry

Computed properties:
Energy relative to the elements, uncorrected ... -15.1 eV/f.u.
D(E_F) ... 5.295 states/eV/cell

Unit cell a=6.197 b=6.197 c=6.478 alpha=99.20 beta=99.20 gamma=119.88
Last column: magnetic moment on the atom in μB.
Fractional positions:
Ho 0.666 0.334 0.000  0.02
Ho 0.334 0.666 0.000  0.02
N 0.241 0.241 0.792  -0.05
N 0.933 0.626 0.800  -0.05
N 0.626 0.933 0.800  -0.05
N 0.067 0.374 0.200  -0.05
N 0.759 0.759 0.208  -0.05
N 0.374 0.067 0.200  -0.05
Ac 0.830 0.170 0.500  0.03
Ac 0.500 0.500 0.500  0.04
Ac 0.170 0.830 0.500  0.03
Np 0.000 0.000 0.000  1.65


No. 10
Compound: CeBiAu
Source: Alexandria via LeMat-Bulk
Functional: PBE
Structure: optimized geometry

Computed properties:
Formation enthalpy at 0 K ... -1.91 eV/f.u.
D(E_F) ... 14.188 states/eV/cell

Unit cell a=4.893 b=4.931 c=8.743 alpha=106.80 beta=90.00 gamma=119.75
Last column: magnetic moment on the atom in μB.
Fractional positions:
Ce 0.257 0.514 0.775  0.86
Ce 0.743 0.486 0.225  0.86
Bi 0.000 0.000 0.000  -0.03
Bi 0.500 0.000 0.500  -0.02
Au 0.124 0.248 0.371  -0.01
Au 0.876 0.752 0.629  -0.01


No. 11
Compound: BeFe2Ru
Source: Alexandria via LeMat-Bulk
Functional: PBE
Structure: optimized geometry

Computed properties:
Formation enthalpy at 0 K ... 0.15 eV/f.u.
D(E_F) ... 4.003 states/eV/cell

Unit cell a=4.396 b=4.396 c=4.284 alpha=73.65 beta=73.65 gamma=35.34
Last column: magnetic moment on the atom in μB.
Fractional positions:
Be 0.255 0.255 0.256  -0.06
Ru 0.509 0.509 0.479  0.22
Fe 0.747 0.747 0.766  2.31
Fe 0.989 0.989 0.000  2.11


No. 12
Compound: Pr2DyPd2
Source: Alexandria via LeMat-Bulk
Functional: PBE
Structure: optimized geometry

Computed properties:
Formation enthalpy at 0 K ... -3.30 eV/f.u.
D(E_F) ... 7.756 states/eV/cell
ΔE to the lowest computed polymorph ... 0 meV/atom

Unit cell a=4.022 b=6.869 c=10.329 alpha=81.54 beta=78.77 gamma=72.98
Fractional positions:
Dy 0.205 0.949 0.642
Dy 0.795 0.051 0.358
Pd 0.986 0.147 0.881
Pd 0.123 0.306 0.447
Pd 0.877 0.694 0.553
Pd 0.014 0.853 0.119
Pr 0.671 0.736 0.922
Pr 0.545 0.606 0.304
Pr 0.329 0.264 0.078
Pr 0.455 0.394 0.696


> What is the formula in the second record?

LaSnB3